First-principles (GGA-PBE) data for crystalline SmMgGaSn at its relaxed geometry, as listed in Alexandria via LeMat-Bulk.

abc: 4.382 4.585 4.669
angles: 90.00 90.00 90.00
Space group Pmmm (No. 47)
One atom of each set of equivalent atoms:
1 Sm 0.000 0.000 0.000 (multiplicity 1)
2 Mg 0.000 0.500 0.500 (multiplicity 1)
3 Ga 0.500 0.500 0.000 (multiplicity 1)
4 Sn 0.500 0.000 0.500 (multiplicity 1)

Calculated values
N(E_F) in states/eV/f.u.: 2.12
M_tot in μB per formula unit: 0.00
DFT formation energy in eV/atom: -0.501
Relative energy among the computed polymorphs in eV per formula unit: 0.000